Computed, not measured: a geometry-optimized La6Tb2PmSc structure at the PBE level of DFT.

E_form: 0.21 eV per atom
crystal system: monoclinic

a = 11.6406 Å, b = 7.0331 Å, c = 8.8690 Å
α = 90.00°, β = 104.47°, γ = 90.00°
Space group C2/m (No. 12)
Inequivalent atoms, fractional coordinates:
La (0.1343, 0.0000, 0.4013) [4 per cell]
La (0.1610, 0.2557, 0.8010) [8 per cell]
Tb (0.0967, 0.5000, 0.1633) [4 per cell]
Pm (0.0000, 0.5000, 0.5000) [2 per cell]
Sc (0.0000, 0.0000, 0.0000) [2 per cell]